Entry 1:
Below is an optimized crystal structure of Sr6As3P, with properties calculated at the PBE-GGA level.

Values from the calculation:
total moment: 0.00 μB per formula unit
formation energy from the elements: -1.082 eV/atom

a b c (Å): 7.706 8.178 13.476
angles (deg): 90.00 124.26 90.00
Space group P2_1/c (No. 14)
Asymmetric unit:
Sr 0.101 0.076 0.247 (multiplicity 4)
Sr 0.264 0.693 0.080 (multiplicity 4)
Sr 0.382 0.183 0.069 (multiplicity 4)
As 0.281 0.075 0.755 (multiplicity 4)
As 0.500 0.000 0.500 (multiplicity 2)
P 0.000 0.000 0.000 (multiplicity 2)

***

Entry 2:
Below is an optimized crystal structure of Nd12Sm6Y, with properties calculated at the PBE-GGA level.

Values from the calculation:
total moment: 0.00 μB per formula unit
formation energy from the elements: 0.405 eV/atom

a b c (Å): 15.7732 15.7732 9.7448
angles (deg): 90.00 90.00 120.00
Space group R-3m (No. 166, hexagonal axes)
Asymmetric unit:
Nd 0.0000 0.3931 0.0000 (multiplicity 18)
Nd 0.0681 0.1362 0.8112 (multiplicity 18)
Sm 0.0359 0.5180 0.6877 (multiplicity 18)
Y 0.0000 0.0000 0.5000 (multiplicity 3)

***

Entry 3:
Below is an optimized crystal structure of Ce2PmHf, with properties calculated at the PBE-GGA level.

Values from the calculation:
total moment: 0.00 μB per formula unit
formation energy from the elements: 0.147 eV/atom

a b c (Å): 3.300 3.300 10.199
angles (deg): 90.00 90.00 90.00
Space group P4/mmm (No. 123)
Asymmetric unit:
Ce 0.000 0.000 0.232 (multiplicity 2)
Pm 0.500 0.500 0.500 (multiplicity 1)
Hf 0.500 0.500 0.000 (multiplicity 1)

***

Entry 4:
Below is an optimized crystal structure of SiMo2P, with properties calculated at the PBE-GGA level.

Values from the calculation:
formation energy from raw total energies: 0.113 eV/atom
total moment: 0.00 μB per formula unit

a b c (Å): 6.160 6.160 6.160
angles (deg): 90.00 90.00 90.00
Space group F-43m (No. 216)
Asymmetric unit:
Si 0.000 0.000 0.000 (multiplicity 4)
Mo 0.000 0.000 0.500 (multiplicity 4)
Mo 0.250 0.250 0.750 (multiplicity 4)
P 0.250 0.250 0.250 (multiplicity 4)

***

Entry 5:
Below is an optimized crystal structure of SiHg2Ru, with properties calculated at the PBE-GGA level.

Values from the calculation:
formation energy from raw total energies: 0.679 eV/atom
total moment: 1.39 μB per formula unit

a b c (Å): 2.929 2.929 8.896
angles (deg): 90.00 90.00 90.00
Space group P4/mmm (No. 123)
Asymmetric unit:
Si 0.000 0.000 0.000 (multiplicity 1)
Hg 0.500 0.500 0.269 (multiplicity 2)
Ru 0.000 0.000 0.500 (multiplicity 1)

***

Entry 6:
Below is an optimized crystal structure of Li5Mg2Zn5, with properties calculated at the PBE-GGA level.

Values from the calculation:
total moment: 0.00 μB per formula unit
formation energy from the elements: -0.138 eV/atom

a b c (Å): 11.905 4.259 8.614
angles (deg): 90.00 117.55 90.00
Space group C2/m (No. 12)
Asymmetric unit:
Li 0.000 0.000 0.000 (multiplicity 2)
Li 0.088 0.000 0.772 (multiplicity 4)
Li 0.246 0.000 0.233 (multiplicity 4)
Mg 0.157 0.000 0.498 (multiplicity 4)
Zn 0.000 0.500 0.500 (multiplicity 2)
Zn 0.077 0.500 0.242 (multiplicity 4)
Zn 0.166 0.500 0.003 (multiplicity 4)

***

Entry 7:
Below is an optimized crystal structure of ErGeRu2, with properties calculated at the PBE-GGA level.

Values from the calculation:
total moment: 0.00 μB per formula unit
formation energy from the elements: -0.372 eV/atom

a b c (Å): 4.434 4.434 3.302
angles (deg): 90.00 90.00 90.00
Space group P4/mmm (No. 123)
Asymmetric unit:
Er 0.000 0.000 0.000 (multiplicity 1)
Ge 0.500 0.500 0.000 (multiplicity 1)
Ru 0.000 0.500 0.500 (multiplicity 2)

***

Entry 8:
Below is an optimized crystal structure of InRhSe2, with properties calculated at the PBE-GGA level.

Values from the calculation:
formation energy from raw total energies: 0.151 eV/atom
total moment: 0.00 μB per formula unit

a b c (Å): 6.810 6.822 3.294
angles (deg): 90.00 90.00 90.00
Space group Cmmm (No. 65)
Asymmetric unit:
In 0.000 0.000 0.000 (multiplicity 2)
Rh 0.000 0.500 0.000 (multiplicity 2)
Se 0.250 0.250 0.500 (multiplicity 4)

***

Entry 9:
Below is an optimized crystal structure of PaCrWC3, with properties calculated at the PBE-GGA level.

Values from the calculation:
total moment: 0.00 μB per formula unit
formation energy from the elements: -0.064 eV/atom

a b c (Å): 6.596 3.148 7.702
angles (deg): 90.00 105.14 90.00
Space group P2_1/m (No. 11)
Asymmetric unit:
Pa 0.191 0.250 0.209 (multiplicity 2)
Cr 0.130 0.250 0.606 (multiplicity 2)
W 0.343 0.750 0.885 (multiplicity 2)
C 0.111 0.250 0.866 (multiplicity 2)
C 0.181 0.750 0.476 (multiplicity 2)
C 0.460 0.750 0.177 (multiplicity 2)

***

Entry 10:
Below is an optimized crystal structure of Tb11Al9Pd4, with properties calculated at the PBE-GGA level.

Values from the calculation:
total moment: 0.00 μB per formula unit
formation energy from the elements: -0.601 eV/atom

a b c (Å): 14.175 21.390 3.627
angles (deg): 90.00 90.00 90.00
Space group Cmmm (No. 65)
Asymmetric unit:
Tb 0.000 0.000 0.000 (multiplicity 2)
Tb 0.000 0.163 0.000 (multiplicity 4)
Tb 0.000 0.371 0.000 (multiplicity 4)
Tb 0.196 0.500 0.000 (multiplicity 4)
Tb 0.237 0.174 0.000 (multiplicity 8)
Al 0.000 0.500 0.500 (multiplicity 2)
Al 0.101 0.266 0.500 (multiplicity 8)
Al 0.146 0.070 0.500 (multiplicity 8)
Pd 0.156 0.398 0.500 (multiplicity 8)

***

Entry 11:
Below is an optimized crystal structure of Na2CeF5, with properties calculated at the PBE-GGA level.

Values from the calculation:
formation energy from raw total energies: -3.320 eV/atom
total moment: 1.00 μB per formula unit

a b c (Å): 9.942 7.341 6.545
angles (deg): 90.00 90.00 90.00
Space group Pnma (No. 62)
Asymmetric unit:
Na 0.175 0.011 0.015 (multiplicity 8)
Ce 0.004 0.750 0.417 (multiplicity 4)
F 0.002 0.250 0.941 (multiplicity 4)
F 0.101 0.038 0.355 (multiplicity 8)
F 0.181 0.750 0.639 (multiplicity 4)
F 0.224 0.250 0.692 (multiplicity 4)

***

Entry 12:
Below is an optimized crystal structure of PIrRu2, with properties calculated at the PBE-GGA level.

Values from the calculation:
total moment: 0.00 μB per formula unit
formation energy from the elements: -0.114 eV/atom

a b c (Å): 2.844 4.327 8.838
angles (deg): 90.00 90.00 90.00
Space group Immm (No. 71)
Asymmetric unit:
P 0.000 0.000 0.000 (multiplicity 2)
Ir 0.000 0.000 0.500 (multiplicity 2)
Ru 0.000 0.500 0.291 (multiplicity 4)

***

Please write out number 4 again, unchanged.
Below is an optimized crystal structure of SiMo2P, with properties calculated at the PBE-GGA level.

Values from the calculation:
formation energy from raw total energies: 0.113 eV/atom
total moment: 0.00 μB per formula unit

a b c (Å): 6.160 6.160 6.160
angles (deg): 90.00 90.00 90.00
Space group F-43m (No. 216)
Asymmetric unit:
Si 0.000 0.000 0.000 (multiplicity 4)
Mo 0.000 0.000 0.500 (multiplicity 4)
Mo 0.250 0.250 0.750 (multiplicity 4)
P 0.250 0.250 0.250 (multiplicity 4)

***

What is the total moment in the twelfth record?
0.00 μB per formula unit

***

Look up the total moment of the fifth one.
1.39 μB per formula unit